Computed, not measured: a geometry-optimized ScCuMo2 structure at the PBEsol level of DFT.

```
4
Lattice="2.7146 0.0000 0.0000 0.0000 4.7104 0.0000 -0.7452 0.0000 4.8957" Properties=species:S:1:pos:R:3 pbc="T T T"
Sc 0.0000 0.0000 0.0000
Cu 0.9847 0.0000 2.4478
Mo 0.2896 2.3552 3.6992
Mo 1.6798 2.3552 1.1965
```

Results
* offset from the most stable computed form: 72 meV/atom
* energy relative to the elements: 0.235 eV per atom